# 1
Compound: LiRe2
Source: Alexandria via LeMat-Bulk
Functional: PBE-GGA
Structure: optimized geometry

abc: 2.5974 4.2945 7.5723
angles: 90.00 90.00 90.00
Space group Immm (No. 71)
Inequivalent atoms, fractional coordinates:
Li: 0.0000 0.0000 0.0000 [2 per cell]
Re: 0.0000 0.0000 0.3327 [4 per cell]

Computed properties:
polymorph energy (0 for the lowest one) = 0.373 eV/f.u.

---

# 2
Compound: PmPr6Tm2Sc
Source: Alexandria via LeMat-Bulk
Functional: PBE-GGA
Structure: optimized geometry

abc: 10.2873 7.6144 8.9955
angles: 90.00 101.67 90.00
Space group C2/m (No. 12)
Inequivalent atoms, fractional coordinates:
Pm: 0.0000 0.0000 0.0000 [2 per cell]
Pr: 0.1298 0.2839 0.7824 [8 per cell]
Pr: 0.1601 0.0000 0.4474 [4 per cell]
Tm: 0.1317 0.5000 0.1363 [4 per cell]
Sc: 0.0000 0.5000 0.5000 [2 per cell]

---

# 3
Compound: Cr2TePtC
Source: Alexandria via LeMat-Bulk
Functional: PBE-GGA
Structure: optimized geometry

abc: 5.1370 5.1370 4.9423
angles: 90.00 90.00 90.00
Space group P4/mmm (No. 123)
Inequivalent atoms, fractional coordinates:
Cr: 0.0000 0.5000 0.0000 [2 per cell]
Te: 0.0000 0.0000 0.0000 [1 per cell]
Pt: 0.0000 0.0000 0.5000 [1 per cell]
C: 0.5000 0.5000 0.5000 [1 per cell]

Computed properties:
raw formation energy = 2139.6 meV per atom

---

# 4
Compound: Ba3LuB3O9
Source: Alexandria via LeMat-Bulk
Functional: PBE-GGA
Structure: optimized geometry

abc: 9.4477 9.4477 17.8797
angles: 90.00 90.00 120.00
Space group P6_3cm (No. 185)
Inequivalent atoms, fractional coordinates:
Ba: 0.0000 0.0000 0.0877 [2 per cell]
Ba: 0.0000 0.3179 0.2419 [6 per cell]
Ba: 0.0000 0.3479 0.0000 [6 per cell]
Ba: 0.3333 0.6667 0.1481 [4 per cell]
Lu: 0.0000 0.0000 0.3740 [2 per cell]
Lu: 0.3333 0.6667 0.3678 [4 per cell]
B: 0.0000 0.3270 0.4424 [6 per cell]
B: 0.0000 0.3326 0.6200 [6 per cell]
B: 0.0000 0.3395 0.7943 [6 per cell]
O: 0.0000 0.1808 0.4519 [6 per cell]
O: 0.0000 0.1927 0.8036 [6 per cell]
O: 0.0000 0.4802 0.6198 [6 per cell]
O: 0.1471 0.4739 0.4379 [12 per cell]
O: 0.1476 0.3327 0.6204 [12 per cell]
O: 0.1476 0.4862 0.7892 [12 per cell]

Computed properties:
raw formation energy = -2927.2 meV per atom

---

# 5
Compound: AuSeI
Source: Alexandria via LeMat-Bulk
Functional: PBE-GGA
Structure: optimized geometry

abc: 8.8015 7.6853 6.2283
angles: 90.00 92.03 90.00
Space group C2/m (No. 12)
Inequivalent atoms, fractional coordinates:
Au: 0.2500 0.2500 0.0000 [4 per cell]
Se: 0.1018 0.0000 0.1370 [4 per cell]
I: 0.1065 0.5000 0.3135 [4 per cell]

Computed properties:
raw formation energy = -6.3 meV per atom

---

# 6
Compound: BaTlPO2
Source: Alexandria via LeMat-Bulk
Functional: PBE-GGA
Structure: optimized geometry

abc: 4.5879 4.5879 5.0299
angles: 90.00 90.00 90.00
Space group P4/mmm (No. 123)
Inequivalent atoms, fractional coordinates:
Ba: 0.0000 0.0000 0.0000 [1 per cell]
Tl: 0.5000 0.5000 0.5000 [1 per cell]
P: 0.5000 0.5000 0.0000 [1 per cell]
O: 0.0000 0.5000 0.5000 [2 per cell]

Computed properties:
raw formation energy = -472.7 meV per atom
polymorph energy (0 for the lowest one) = 0.000 eV/f.u.

---

# 7
Compound: TbPuGa
Source: Alexandria via LeMat-Bulk
Functional: PBE-GGA
Structure: optimized geometry

abc: 3.6040 3.6040 11.7632
angles: 90.00 90.00 90.00
Space group I4mm (No. 107)
Inequivalent atoms, fractional coordinates:
Tb: 0.0000 0.0000 0.0000 [2 per cell]
Pu: 0.0000 0.0000 0.2933 [2 per cell]
Ga: 0.0000 0.0000 0.6455 [2 per cell]

Computed properties:
polymorph energy (0 for the lowest one) = 0.000 eV/f.u.

---

# 8
Compound: LaRePb
Source: Alexandria via LeMat-Bulk
Functional: PBE-GGA
Structure: optimized geometry

abc: 3.5083 3.5083 12.1092
angles: 90.00 90.00 90.00
Space group I4mm (No. 107)
Inequivalent atoms, fractional coordinates:
La: 0.0000 0.0000 0.0000 [2 per cell]
Re: 0.0000 0.0000 0.3452 [2 per cell]
Pb: 0.0000 0.0000 0.7227 [2 per cell]

Computed properties:
polymorph energy (0 for the lowest one) = 0.000 eV/f.u.

---

# 9
Compound: Pa3HgBi6
Source: Alexandria via LeMat-Bulk
Functional: PBE-GGA
Structure: optimized geometry

abc: 4.6185 4.6185 19.2507
angles: 90.00 90.00 120.00
Space group P-3m1 (No. 164)
Inequivalent atoms, fractional coordinates:
Pa: 0.0000 0.0000 0.0000 [1 per cell]
Pa: 0.0000 0.0000 0.3185 [2 per cell]
Hg: 0.0000 0.0000 0.5000 [1 per cell]
Bi: 0.3333 0.6667 0.0849 [2 per cell]
Bi: 0.3333 0.6667 0.4068 [2 per cell]
Bi: 0.3333 0.6667 0.7648 [2 per cell]

---

# 10
Compound: Pu2I3
Source: Alexandria via LeMat-Bulk
Functional: PBE-GGA
Structure: optimized geometry

abc: 7.6386 7.6386 22.4855
angles: 90.00 90.00 120.00
Space group R-3c (No. 167, hexagonal axes)
Inequivalent atoms, fractional coordinates:
Pu: 0.0000 0.0000 0.1731 [12 per cell]
I: 0.0000 0.3502 0.2500 [18 per cell]

Computed properties:
raw formation energy = -783.0 meV per atom
polymorph energy (0 for the lowest one) = 0.084 eV/f.u.

---

# 11
Compound: Sc2Bi2Sb
Source: Alexandria via LeMat-Bulk
Functional: PBE-GGA
Structure: optimized geometry

abc: 8.4182 8.4182 3.8677
angles: 90.00 90.00 90.00
Space group P4/mbm (No. 127)
Inequivalent atoms, fractional coordinates:
Sc: 0.1490 0.3510 0.0000 [4 per cell]
Bi: 0.1502 0.6502 0.5000 [4 per cell]
Sb: 0.0000 0.0000 0.5000 [2 per cell]

Computed properties:
raw formation energy = -281.9 meV per atom
polymorph energy (0 for the lowest one) = 1.004 eV/f.u.

---

# 12
Compound: AcTb6Ho
Source: Alexandria via LeMat-Bulk
Functional: PBE-GGA
Structure: optimized geometry

abc: 9.5957 7.0402 8.9256
angles: 90.00 103.20 90.00
Space group C2/m (No. 12)
Inequivalent atoms, fractional coordinates:
Ac: 0.0000 0.0000 0.0000 [2 per cell]
Tb: 0.1230 0.5000 0.9205 [4 per cell]
Tb: 0.2231 0.2632 0.3019 [8 per cell]
Ho: 0.0000 0.5000 0.5000 [2 per cell]

Computed properties:
polymorph energy (0 for the lowest one) = 2.824 eV/f.u.

---

# 13
Compound: TlCu2Ir2
Source: Alexandria via LeMat-Bulk
Functional: PBE-GGA
Structure: optimized geometry

abc: 3.6770 3.6770 12.2333
angles: 90.00 90.00 90.00
Space group I4/mmm (No. 139)
Inequivalent atoms, fractional coordinates:
Tl: 0.0000 0.0000 0.0000 [2 per cell]
Cu: 0.0000 0.5000 0.2500 [4 per cell]
Ir: 0.0000 0.0000 0.3944 [4 per cell]

Computed properties:
polymorph energy (0 for the lowest one) = 0.880 eV/f.u.

---

# 14
Compound: Tl2CdSi4
Source: Alexandria via LeMat-Bulk
Functional: PBE-GGA
Structure: optimized geometry

abc: 5.0584 5.0584 14.4851
angles: 90.00 90.00 90.00
Space group I4/mmm (No. 139)
Inequivalent atoms, fractional coordinates:
Tl: 0.0000 0.0000 0.1260 [4 per cell]
Cd: 0.0000 0.0000 0.5000 [2 per cell]
Si: 0.0000 0.0000 0.3147 [4 per cell]
Si: 0.0000 0.5000 0.0000 [4 per cell]

Computed properties:
raw formation energy = 1038.5 meV per atom

---

# 15
Compound: Mg2TeP
Source: Alexandria via LeMat-Bulk
Functional: PBE-GGA
Structure: optimized geometry

abc: 7.0024 7.0024 7.0024
angles: 90.00 90.00 90.00
Space group Fm-3m (No. 225)
Inequivalent atoms, fractional coordinates:
Mg: 0.2500 0.2500 0.2500 [8 per cell]
Te: 0.0000 0.0000 0.0000 [4 per cell]
P: 0.0000 0.0000 0.5000 [4 per cell]

Computed properties:
raw formation energy = -123.3 meV per atom
polymorph energy (0 for the lowest one) = 1.595 eV/f.u.

---

# 16
Compound: Os3SeI
Source: Alexandria via LeMat-Bulk
Functional: PBE-GGA
Structure: optimized geometry

abc: 4.8620 4.8620 4.8620
angles: 90.00 90.00 90.00
Space group Pm-3m (No. 221)
Inequivalent atoms, fractional coordinates:
Os: 0.0000 0.0000 0.5000 [3 per cell]
Se: 0.5000 0.5000 0.5000 [1 per cell]
I: 0.0000 0.0000 0.0000 [1 per cell]

Computed properties:
raw formation energy = 2954.8 meV per atom
polymorph energy (0 for the lowest one) = 4.173 eV/f.u.

---

# 17
Compound: BaCd4Ag2Pt
Source: Alexandria via LeMat-Bulk
Functional: PBE-GGA
Structure: optimized geometry

abc: 4.7425 4.7425 30.3218
angles: 90.00 90.00 120.00
Space group R-3m (No. 166, hexagonal axes)
Inequivalent atoms, fractional coordinates:
Ba: 0.0000 0.0000 0.0000 [3 per cell]
Cd: 0.0000 0.0000 0.1369 [6 per cell]
Cd: 0.0000 0.0000 0.4080 [6 per cell]
Ag: 0.0000 0.0000 0.2362 [6 per cell]
Pt: 0.0000 0.0000 0.5000 [3 per cell]

---

# 18
Compound: Pu4Th
Source: Alexandria via LeMat-Bulk
Functional: PBE-GGA
Structure: optimized geometry

abc: 5.5889 5.5889 5.5889
angles: 90.00 90.00 90.00
Space group Pm-3m (No. 221)
Inequivalent atoms, fractional coordinates:
Pu: 0.0000 0.0000 0.0000 [1 per cell]
Pu: 0.0000 0.5000 0.5000 [3 per cell]
Th: 0.5000 0.5000 0.5000 [1 per cell]

---

# 19
Compound: MgScPaGa
Source: Alexandria via LeMat-Bulk
Functional: PBE-GGA
Structure: optimized geometry

abc: 7.0828 7.0828 7.0828
angles: 90.00 90.00 90.00
Space group F-43m (No. 216)
Inequivalent atoms, fractional coordinates:
Mg: 0.0000 0.0000 0.0000 [4 per cell]
Sc: 0.2500 0.2500 0.2500 [4 per cell]
Pa: 0.2500 0.2500 0.7500 [4 per cell]
Ga: 0.0000 0.0000 0.5000 [4 per cell]

---

# 20
Compound: Dy3YHo6
Source: Alexandria via LeMat-Bulk
Functional: PBE-GGA
Structure: optimized geometry

abc: 10.9384 18.8793 6.1802
angles: 90.00 90.00 90.00
Space group Cmc2_1 (No. 36)
Inequivalent atoms, fractional coordinates:
Dy: 0.0000 0.1096 0.0000 [4 per cell]
Dy: 0.1707 0.3903 0.6094 [8 per cell]
Y: 0.0000 0.2960 0.9315 [4 per cell]
Ho: 0.0000 0.2189 0.4273 [4 per cell]
Ho: 0.0000 0.4554 0.1607 [4 per cell]
Ho: 0.1654 0.0467 0.5341 [8 per cell]
Ho: 0.2447 0.2106 0.7106 [8 per cell]

Computed properties:
polymorph energy (0 for the lowest one) = 0.323 eV/f.u.

---

# 21
Compound: AlAsN2
Source: Alexandria via LeMat-Bulk
Functional: PBE-GGA
Structure: optimized geometry

abc: 2.9317 2.9317 18.2475
angles: 90.00 90.00 120.00
Space group R-3m (No. 166, hexagonal axes)
Inequivalent atoms, fractional coordinates:
Al: 0.0000 0.0000 0.0000 [3 per cell]
As: 0.0000 0.0000 0.5000 [3 per cell]
N: 0.0000 0.0000 0.1093 [6 per cell]

Computed properties:
raw formation energy = 267.2 meV per atom
polymorph energy (0 for the lowest one) = 1.435 eV/f.u.

---

# 22
Compound: Zr2ZnGaMo
Source: Alexandria via LeMat-Bulk
Functional: PBE-GGA
Structure: optimized geometry

abc: 5.0040 5.0040 4.9326
angles: 90.00 90.00 90.00
Space group P4/mmm (No. 123)
Inequivalent atoms, fractional coordinates:
Zr: 0.0000 0.5000 0.0000 [2 per cell]
Zn: 0.0000 0.0000 0.5000 [1 per cell]
Ga: 0.5000 0.5000 0.5000 [1 per cell]
Mo: 0.5000 0.5000 0.0000 [1 per cell]

---

Number 1: VASP energy -8.716 eV/atom. Number 2: VASP energy -4.662 eV/atom. Number 3: VASP energy -5.391 eV/atom. Number 4: VASP energy -7.611 eV/atom. Number 5: VASP energy -2.777 eV/atom. Number 6: VASP energy -4.396 eV/atom. Number 7: VASP energy -7.547 eV/atom. Number 8: VASP energy -6.666 eV/atom. Number 9: VASP energy -5.017 eV/atom. Number 10: VASP energy -7.446 eV/atom. Number 11: VASP energy -5.191 eV/atom. Number 12: VASP energy -4.164 eV/atom. Number 13: VASP energy -5.110 eV/atom. Number 14: VASP energy -2.867 eV/atom. Number 15: VASP energy -3.059 eV/atom. Number 16: VASP energy -4.790 eV/atom. Number 17: VASP energy -2.362 eV/atom. Number 18: VASP energy -11.840 eV/atom. Number 19: VASP energy -5.129 eV/atom. Number 20: VASP energy -4.618 eV/atom. Number 21: VASP energy -5.994 eV/atom. Number 22: VASP energy -5.833 eV/atom.